Material: ZrRuSe2
Method: DFT, PBE
State: optimized geometry

Cell: 4.6118 4.6118 4.6118 Å, 60.00 60.00 60.00°
With the nearest neighbours (Å) after each atom.
Positions (direct):
Zr 0.0000 0.0000 0.0000  8 Se 2.82
Ru 0.5000 0.5000 0.5000  8 Se 2.82
Se 0.2500 0.2500 0.2500  4 Zr 2.82, 4 Ru 2.82
Se 0.7500 0.7500 0.7500  4 Zr 2.82, 4 Ru 2.82

## Properties
- relative energy among the computed polymorphs (eV/atom) = 0.281
- energy relative to the elements, uncorrected (eV per formula unit) = -1.69

Material: KTaH
Method: DFT, PBE
State: optimized geometry

Cell: 3.1378 4.4995 10.5631 Å, 90.04 97.70 90.00°
With the nearest neighbours (Å) after each atom.
Positions (direct):
K 0.0000 0.0000 0.0000  2 H 2.82-2.83, 2 K 3.14
K 0.2802 0.5048 0.6184  2 H 2.87-2.88, 2 K 3.14
Ta 0.1503 0.9932 0.3363  4 H 2.01-2.07
Ta 0.6296 0.4951 0.2900  2 H 1.98-2.03
H 0.5988 0.9171 0.2215  3 Ta 2.01-2.03
H 0.6925 0.2000 0.4296  3 Ta 1.98-2.07

## Properties
- relative energy among the computed polymorphs (eV/atom) = 0.091

Calculated M_tot in order - 0.0 0.1 μB/cell
Calculated DFT total energy in order - -26.5 -30.5 eV for the cell shown
Calculated N(E_F) in order - 1.2033 0.6292 states/eV/atom